VASP calculation (GGA-PBE) on a relaxed structure of PmTm3In4.

The structure belongs to space group Pmma (No. 51); the cell edges are 10.7165, 7.1821 and 5.4816 Å and the angles 90.00°, 90.00° and 90.00°. The asymmetric unit holds Pm at (0.0000, 0.0000, 0.0000), Tm at (0.0000, 0.5000, 0.0000), Tm at (0.2500, 0.0000, 0.4289), Tm at (0.2500, 0.5000, 0.4153), In at (0.0000, 0.2586, 0.5000) and In at (0.2500, 0.2582, 0.9121).

Its total magnetization is 0.00 μB per formula unit. Its density of states at the Fermi level is 4.466 states/eV/f.u. The formation energy is -3.52 eV per formula unit. The calculation puts the total energy at -65.281 eV per cell.


VASP calculation (GGA-PBE) on a relaxed structure of Na2Dy3YTe6.

The structure belongs to space group C2/m (No. 12); the cell edges are 7.6036, 13.1573 and 7.7029 Å and the angles 90.00°, 109.16° and 90.00°. The asymmetric unit holds Na at (0.0000, 0.1657, 0.0000), Dy at (0.0000, 0.0000, 0.5000), Dy at (0.0000, 0.3311, 0.5000), Y at (0.0000, 0.5000, 0.0000), Te at (0.2438, 0.5000, 0.7434) and Te at (0.2493, 0.3349, 0.2529).

Its total magnetization is 0.00 μB per formula unit. Its density of states at the Fermi level is 3.659 states/eV/f.u. The energy relative to the elements, uncorrected is -1.3110 eV/atom. The calculation puts the total energy at -114.981 eV per cell.


VASP calculation (GGA-PBE) on a relaxed structure of Cd2In2Hg7.

The structure belongs to space group C2/m (No. 12); the cell edges are 7.1172, 10.3094 and 7.9663 Å and the angles 90.00°, 95.01° and 90.00°. The asymmetric unit holds Cd at (0.0000, 0.2320, 0.0000), In at (0.0928, 0.0000, 0.3260), Hg at (0.0000, 0.5000, 0.5000), Hg at (0.2119, 0.5000, 0.9970) and Hg at (0.2326, 0.2042, 0.6792).

Its total magnetization is 0.00 μB per formula unit. Its density of states at the Fermi level is 3.694 states/eV/f.u. The formation energy is 0.22 eV per formula unit. The calculation puts the total energy at -18.402 eV per cell.